Entry 1:
Ni9Pd2Pt: optimized geometry, PBE.

The structure in CIF format:
```
data_Ni9Pd2Pt
_chemical_formula_sum 'Ni9 Pd2 Pt1'
_space_group_name_H-M_alt 'P 1'
_space_group_IT_number 1
_cell_length_a 3.651
_cell_length_b 3.651
_cell_length_c 10.959
_cell_angle_alpha 90.00
_cell_angle_beta 90.00
_cell_angle_gamma 90.00
loop_
_space_group_symop_operation_xyz
'x,y,z'
loop_
_atom_site_label
_atom_site_type_symbol
_atom_site_fract_x
_atom_site_fract_y
_atom_site_fract_z
Ni1 Ni 0.500 0.500 0.000
Ni2 Ni 0.500 0.500 0.334
Ni3 Ni 0.500 0.500 0.666
Ni4 Ni 0.500 0.000 0.167
Ni5 Ni 0.500 0.000 0.500
Ni6 Ni 0.500 0.000 0.833
Ni7 Ni 0.000 0.500 0.167
Ni8 Ni 0.000 0.500 0.500
Ni9 Ni 0.000 0.500 0.833
Pd1 Pd 0.000 0.000 0.334
Pd2 Pd 0.000 0.000 0.666
Pt1 Pt 0.000 0.000 0.000
```

The energy of formation is 0.002 eV per atom.



Entry 2:
NaHfP3: optimized geometry, PBE.

The structure in CIF format:
```
data_NaHfP3
_chemical_formula_sum 'Na1 Hf1 P3'
_space_group_name_H-M_alt 'P 1'
_space_group_IT_number 1
_cell_length_a 5.007
_cell_length_b 5.007
_cell_length_c 5.007
_cell_angle_alpha 90.00
_cell_angle_beta 90.00
_cell_angle_gamma 90.00
loop_
_space_group_symop_operation_xyz
'x,y,z'
loop_
_atom_site_label
_atom_site_type_symbol
_atom_site_fract_x
_atom_site_fract_y
_atom_site_fract_z
P1 P 0.000 0.500 0.000
P2 P 0.000 0.000 0.500
P3 P 0.500 0.000 0.000
Hf1 Hf 0.000 0.000 0.000
Na1 Na 0.500 0.500 0.500
```

The energy of formation is -0.034 eV per atom.



Entry 3:
LiSm2Hg: optimized geometry, PBE.

The structure in CIF format:
```
data_LiSm2Hg
_chemical_formula_sum 'Li1 Sm2 Hg1'
_space_group_name_H-M_alt 'P 1'
_space_group_IT_number 1
_cell_length_a 3.882
_cell_length_b 5.251
_cell_length_c 5.251
_cell_angle_alpha 90.00
_cell_angle_beta 90.00
_cell_angle_gamma 90.00
loop_
_space_group_symop_operation_xyz
'x,y,z'
loop_
_atom_site_label
_atom_site_type_symbol
_atom_site_fract_x
_atom_site_fract_y
_atom_site_fract_z
Hg1 Hg 0.500 0.500 0.500
Sm1 Sm 0.000 0.000 0.500
Sm2 Sm 0.000 0.500 0.000
Li1 Li 0.500 0.000 0.000
```

The energy of formation is -0.221 eV per atom.



Entry 4:
Pa5TcGe5: optimized geometry, PBE.

The structure in CIF format:
```
data_Pa5TcGe5
_chemical_formula_sum 'Pa5 Tc1 Ge5'
_space_group_name_H-M_alt 'P 1'
_space_group_IT_number 1
_cell_length_a 5.671
_cell_length_b 7.221
_cell_length_c 6.794
_cell_angle_alpha 104.31
_cell_angle_beta 90.00
_cell_angle_gamma 113.12
loop_
_space_group_symop_operation_xyz
'x,y,z'
loop_
_atom_site_label
_atom_site_type_symbol
_atom_site_fract_x
_atom_site_fract_y
_atom_site_fract_z
Pa1 Pa 0.674 0.348 0.343
Pa2 Pa 0.613 0.225 0.706
Pa3 Pa 0.000 0.000 0.500
Pa4 Pa 0.387 0.775 0.294
Pa5 Pa 0.326 0.652 0.657
Tc1 Tc 0.000 0.000 0.000
Ge1 Ge 0.826 0.651 0.100
Ge2 Ge 0.836 0.672 0.713
Ge3 Ge 0.500 0.000 0.000
Ge4 Ge 0.164 0.328 0.287
Ge5 Ge 0.174 0.349 0.900
```

The energy of formation is -0.109 eV per atom.



Entry 5:
Tm5Pd2Rh: optimized geometry, PBE.

The structure in CIF format:
```
data_Tm5Pd2Rh
_chemical_formula_sum 'Tm10 Pd4 Rh2'
_space_group_name_H-M_alt 'P 1'
_space_group_IT_number 1
_cell_length_a 7.189
_cell_length_b 7.189
_cell_length_c 8.820
_cell_angle_alpha 114.05
_cell_angle_beta 114.05
_cell_angle_gamma 90.00
loop_
_space_group_symop_operation_xyz
'x,y,z'
loop_
_atom_site_label
_atom_site_type_symbol
_atom_site_fract_x
_atom_site_fract_y
_atom_site_fract_z
Tm1 Tm 0.521 0.680 0.701
Tm2 Tm 0.820 0.979 0.299
Tm3 Tm 0.000 0.000 0.000
Tm4 Tm 0.500 0.500 0.000
Tm5 Tm 0.180 0.021 0.701
Tm6 Tm 0.680 0.180 0.701
Tm7 Tm 0.021 0.521 0.701
Tm8 Tm 0.320 0.820 0.299
Tm9 Tm 0.979 0.479 0.299
Tm10 Tm 0.479 0.320 0.299
Pd1 Pd 0.134 0.366 0.000
Pd2 Pd 0.634 0.134 0.000
Pd3 Pd 0.366 0.866 0.000
Pd4 Pd 0.866 0.634 0.000
Rh1 Rh 0.750 0.750 0.500
Rh2 Rh 0.250 0.250 0.500
```

The energy of formation is -0.721 eV per atom.



Entry 6:
NdSiPd4: optimized geometry, PBE.

The structure in CIF format:
```
data_NdSiPd4
_chemical_formula_sum 'Nd2 Si2 Pd8'
_space_group_name_H-M_alt 'P 1'
_space_group_IT_number 1
_cell_length_a 3.879
_cell_length_b 7.024
_cell_length_c 7.809
_cell_angle_alpha 90.00
_cell_angle_beta 90.00
_cell_angle_gamma 90.00
loop_
_space_group_symop_operation_xyz
'x,y,z'
loop_
_atom_site_label
_atom_site_type_symbol
_atom_site_fract_x
_atom_site_fract_y
_atom_site_fract_z
Nd1 Nd 0.000 0.631 0.750
Nd2 Nd 0.000 0.369 0.250
Si1 Si 0.000 0.201 0.750
Si2 Si 0.000 0.799 0.250
Pd1 Pd 0.000 0.000 0.500
Pd2 Pd 0.000 0.000 0.000
Pd3 Pd 0.500 0.955 0.750
Pd4 Pd 0.500 0.045 0.250
Pd5 Pd 0.500 0.695 0.064
Pd6 Pd 0.500 0.305 0.936
Pd7 Pd 0.500 0.695 0.436
Pd8 Pd 0.500 0.305 0.564
```

For the formation energy from raw total energies, the calculation gives -0.7369 eV/atom.



Entry 7:
NbGa2Re: optimized geometry, PBE.

The structure in CIF format:
```
data_NbGa2Re
_chemical_formula_sum 'Nb2 Ga4 Re2'
_space_group_name_H-M_alt 'P 1'
_space_group_IT_number 1
_cell_length_a 3.807
_cell_length_b 3.807
_cell_length_c 9.957
_cell_angle_alpha 78.98
_cell_angle_beta 78.98
_cell_angle_gamma 90.00
loop_
_space_group_symop_operation_xyz
'x,y,z'
loop_
_atom_site_label
_atom_site_type_symbol
_atom_site_fract_x
_atom_site_fract_y
_atom_site_fract_z
Re1 Re 0.000 0.000 0.000
Re2 Re 0.750 0.250 0.500
Nb1 Nb 0.500 0.500 0.000
Nb2 Nb 0.250 0.750 0.500
Ga1 Ga 0.628 0.125 0.250
Ga2 Ga 0.122 0.625 0.250
Ga3 Ga 0.375 0.372 0.750
Ga4 Ga 0.875 0.878 0.750
```

The energy of formation is 0.271 eV per atom.



Entry 8:
AlReSe2Br: optimized geometry, PBE.

The structure in CIF format:
```
data_AlReSe2Br
_chemical_formula_sum 'Al1 Re1 Se2 Br1'
_space_group_name_H-M_alt 'P 1'
_space_group_IT_number 1
_cell_length_a 4.984
_cell_length_b 4.984
_cell_length_c 4.829
_cell_angle_alpha 90.00
_cell_angle_beta 90.00
_cell_angle_gamma 90.00
loop_
_space_group_symop_operation_xyz
'x,y,z'
loop_
_atom_site_label
_atom_site_type_symbol
_atom_site_fract_x
_atom_site_fract_y
_atom_site_fract_z
Re1 Re 0.500 0.500 0.500
Se1 Se 0.000 0.500 0.000
Se2 Se 0.500 0.000 0.000
Br1 Br 0.000 0.000 0.500
Al1 Al 0.000 0.000 0.000
```

For the formation energy from raw total energies, the calculation gives 0.8881 eV/atom.



Entry 9:
Dy4GaBiC: optimized geometry, PBE.

The structure in CIF format:
```
data_Dy4GaBiC
_chemical_formula_sum 'Dy8 Ga2 Bi2 C2'
_space_group_name_H-M_alt 'P 1'
_space_group_IT_number 1
_cell_length_a 6.774
_cell_length_b 6.780
_cell_length_c 8.554
_cell_angle_alpha 90.00
_cell_angle_beta 113.33
_cell_angle_gamma 90.00
loop_
_space_group_symop_operation_xyz
'x,y,z'
loop_
_atom_site_label
_atom_site_type_symbol
_atom_site_fract_x
_atom_site_fract_y
_atom_site_fract_z
Dy1 Dy 0.917 0.250 0.833
Dy2 Dy 0.405 0.750 0.810
Dy3 Dy 0.083 0.750 0.167
Dy4 Dy 0.595 0.250 0.190
Dy5 Dy 0.500 0.500 0.500
Dy6 Dy 0.000 0.000 0.500
Dy7 Dy 0.500 0.000 0.500
Dy8 Dy 0.000 0.500 0.500
Ga1 Ga 0.117 0.250 0.234
Ga2 Ga 0.883 0.750 0.766
Bi1 Bi 0.605 0.750 0.211
Bi2 Bi 0.395 0.250 0.789
C1 C 0.249 0.750 0.497
C2 C 0.751 0.250 0.503
```

The energy of formation is -0.557 eV per atom.



Entry 10:
Hf4Zr: optimized geometry, PBE.

The structure in CIF format:
```
data_Hf4Zr
_chemical_formula_sum 'Hf8 Zr2'
_space_group_name_H-M_alt 'P 1'
_space_group_IT_number 1
_cell_length_a 5.324
_cell_length_b 5.695
_cell_length_c 8.221
_cell_angle_alpha 65.05
_cell_angle_beta 90.00
_cell_angle_gamma 90.00
loop_
_space_group_symop_operation_xyz
'x,y,z'
loop_
_atom_site_label
_atom_site_type_symbol
_atom_site_fract_x
_atom_site_fract_y
_atom_site_fract_z
Hf1 Hf 0.070 0.401 0.202
Hf2 Hf 0.570 0.599 0.298
Hf3 Hf 0.930 0.599 0.798
Hf4 Hf 0.430 0.401 0.702
Hf5 Hf 0.945 0.214 0.602
Hf6 Hf 0.445 0.786 0.898
Hf7 Hf 0.055 0.786 0.398
Hf8 Hf 0.555 0.214 0.102
Zr1 Zr 0.000 0.000 0.000
Zr2 Zr 0.500 0.000 0.500
```

The energy of formation is 0.108 eV per atom.



Entry 11:
Ce2Er2Si4Rh: optimized geometry, PBE.

The structure in CIF format:
```
data_Ce2Er2Si4Rh
_chemical_formula_sum 'Ce2 Er2 Si4 Rh1'
_space_group_name_H-M_alt 'P 1'
_space_group_IT_number 1
_cell_length_a 6.384
_cell_length_b 6.384
_cell_length_c 6.384
_cell_angle_alpha 102.76
_cell_angle_beta 112.93
_cell_angle_gamma 112.93
loop_
_space_group_symop_operation_xyz
'x,y,z'
loop_
_atom_site_label
_atom_site_type_symbol
_atom_site_fract_x
_atom_site_fract_y
_atom_site_fract_z
Ce1 Ce 0.000 0.672 0.672
Ce2 Ce 0.000 0.328 0.328
Er1 Er 0.500 0.750 0.250
Er2 Er 0.500 0.250 0.750
Si1 Si 0.000 0.759 0.241
Si2 Si 0.518 0.759 0.759
Si3 Si 0.000 0.241 0.759
Si4 Si 0.482 0.241 0.241
Rh1 Rh 0.000 0.000 0.000
```

For the formation energy from raw total energies, the calculation gives -0.4073 eV/atom.



Entry 12:
InSi2Mo: optimized geometry, PBE.

The structure in CIF format:
```
data_InSi2Mo
_chemical_formula_sum 'In1 Si2 Mo1'
_space_group_name_H-M_alt 'P 1'
_space_group_IT_number 1
_cell_length_a 2.945
_cell_length_b 2.945
_cell_length_c 8.259
_cell_angle_alpha 90.00
_cell_angle_beta 90.00
_cell_angle_gamma 106.95
loop_
_space_group_symop_operation_xyz
'x,y,z'
loop_
_atom_site_label
_atom_site_type_symbol
_atom_site_fract_x
_atom_site_fract_y
_atom_site_fract_z
In1 In 0.000 0.000 0.506
Mo1 Mo 0.500 0.500 0.784
Si1 Si 0.000 0.000 0.997
Si2 Si 0.500 0.500 0.213
```

For the formation energy from raw total energies, the calculation gives 0.3710 eV/atom.



Entry 13:
Ac2LaNdO6: optimized geometry, PBE.

The structure in CIF format:
```
data_Ac2LaNdO6
_chemical_formula_sum 'Ac4 La2 Nd2 O12'
_space_group_name_H-M_alt 'P 1'
_space_group_IT_number 1
_cell_length_a 6.187
_cell_length_b 6.398
_cell_length_c 9.099
_cell_angle_alpha 90.00
_cell_angle_beta 89.98
_cell_angle_gamma 90.00
loop_
_space_group_symop_operation_xyz
'x,y,z'
loop_
_atom_site_label
_atom_site_type_symbol
_atom_site_fract_x
_atom_site_fract_y
_atom_site_fract_z
Ac1 Ac 0.018 0.952 0.252
Ac2 Ac 0.518 0.548 0.752
Ac3 Ac 0.982 0.048 0.748
Ac4 Ac 0.482 0.452 0.248
La1 La 0.500 0.000 0.000
La2 La 0.000 0.500 0.500
Nd1 Nd 0.500 0.000 0.500
Nd2 Nd 0.000 0.500 0.000
O1 O 0.307 0.692 0.073
O2 O 0.807 0.808 0.573
O3 O 0.693 0.308 0.927
O4 O 0.193 0.192 0.427
O5 O 0.307 0.697 0.420
O6 O 0.807 0.803 0.920
O7 O 0.693 0.303 0.580
O8 O 0.193 0.197 0.080
O9 O 0.860 0.573 0.246
O10 O 0.360 0.927 0.746
O11 O 0.140 0.427 0.754
O12 O 0.640 0.073 0.254
```

For the formation energy from raw total energies, the calculation gives -3.3097 eV/atom.



Entry 14:
UCuHg2O6: optimized geometry, PBE.

The structure in CIF format:
```
data_UCuHg2O6
_chemical_formula_sum 'U1 Cu1 Hg2 O6'
_space_group_name_H-M_alt 'P 1'
_space_group_IT_number 1
_cell_length_a 6.497
_cell_length_b 4.975
_cell_length_c 6.649
_cell_angle_alpha 67.45
_cell_angle_beta 51.52
_cell_angle_gamma 67.37
loop_
_space_group_symop_operation_xyz
'x,y,z'
loop_
_atom_site_label
_atom_site_type_symbol
_atom_site_fract_x
_atom_site_fract_y
_atom_site_fract_z
U1 U 0.816 0.816 0.552
Cu1 Cu 0.316 0.316 0.052
Hg1 Hg 0.499 0.589 0.304
Hg2 Hg 0.133 0.043 0.798
O1 O 0.708 0.158 0.318
O2 O 0.211 0.978 0.347
O3 O 0.013 0.578 0.280
O4 O 0.422 0.655 0.756
O5 O 0.619 0.054 0.823
O6 O 0.924 0.474 0.785
```

For the formation energy from raw total energies, the calculation gives -1.4042 eV/atom.



Entry 15:
In2CuBi: optimized geometry, PBE.

The structure in CIF format:
```
data_In2CuBi
_chemical_formula_sum 'In2 Cu1 Bi1'
_space_group_name_H-M_alt 'P 1'
_space_group_IT_number 1
_cell_length_a 4.266
_cell_length_b 4.266
_cell_length_c 6.876
_cell_angle_alpha 71.93
_cell_angle_beta 71.93
_cell_angle_gamma 60.00
loop_
_space_group_symop_operation_xyz
'x,y,z'
loop_
_atom_site_label
_atom_site_type_symbol
_atom_site_fract_x
_atom_site_fract_y
_atom_site_fract_z
Bi1 Bi 0.500 0.500 0.500
Cu1 Cu 0.000 0.000 0.000
In1 In 0.272 0.272 0.183
In2 In 0.728 0.728 0.817
```

The energy of formation is 0.148 eV per atom.